First-principles (PBE) data for an optimized crystal structure of UV2Tc, as listed in Alexandria.

Properties
Formation energy, eV/f.u.: 0.2
Energy above the most stable polymorph in this dataset, eV/atom: 0.0000

Cell and atoms, written as CIF:
```
data_UV2Tc
_chemical_formula_sum 'U4 V8 Tc4'
_symmetry_space_group_name_H-M 'F m -3 m'
_symmetry_Int_Tables_number 225
_symmetry_space_group_name_Hall '-F 4 2 3'
_cell_length_a 6.268
_cell_length_b 6.268
_cell_length_c 6.268
_cell_angle_alpha 90.00
_cell_angle_beta 90.00
_cell_angle_gamma 90.00
loop_
_atom_site_label
_atom_site_fract_x
_atom_site_fract_y
_atom_site_fract_z
_atom_site_occupancy
U1 0.000 0.000 0.000 1
V1 0.250 0.250 0.250 1
Tc1 0.000 0.000 0.500 1
```